# 1
{
  "formula": "Tb3Pm2Pr3",
  "functional": "PBE",
  "state": "relaxed",
  "energy_ev_per_atom": -4.700,
  "delta_e_f_ev_per_atom": 0.02,
  "de_polymorph_mev_per_atom": 0.0,
  "cell": [[-2.953, -0.911, -4.104], [-3.489, -2.288, 3.018], [-1.508, 10.650, 1.937]],
  "species": ["Tb", "Tb", "Tb", "Pm", "Pm", "Pr", "Pr", "Pr"],
  "fractional_positions": [[0.125, 0.125, 0.251], [0.000, 0.500, 0.000], [0.875, 0.875, 0.749], [0.750, 0.250, 0.499], [0.250, 0.750, 0.501], [0.624, 0.624, 0.249], [0.376, 0.376, 0.751], [0.500, 0.000, 0.000]]
}

# 2
{
  "formula": "Tb5Pm2Pr4",
  "functional": "PBE",
  "state": "relaxed",
  "energy_ev_per_atom": -4.593,
  "delta_e_f_ev_per_atom": 0.11,
  "de_polymorph_mev_per_atom": 9.8,
  "cell": [[7.531, 0.000, 0.000], [3.765, 5.559, 0.805], [3.765, 1.621, 9.292]],
  "species": ["Tb", "Tb", "Tb", "Tb", "Tb", "Pm", "Pm", "Pr", "Pr", "Pr", "Pr"],
  "fractional_positions": [[0.212, 0.363, 0.775], [0.788, 0.637, 0.225], [0.000, 0.500, 0.500], [0.650, 0.363, 0.775], [0.350, 0.637, 0.225], [0.141, 0.844, 0.873], [0.859, 0.156, 0.127], [0.312, 0.878, 0.498], [0.688, 0.122, 0.502], [0.674, 0.774, 0.878], [0.326, 0.226, 0.122]]
}

# 3
{
  "formula": "TbPmPr2",
  "functional": "PBE",
  "state": "relaxed",
  "energy_ev_per_atom": -4.721,
  "delta_e_f_ev_per_atom": 0.01,
  "de_polymorph_mev_per_atom": 2.5,
  "cell": [[-2.960, 1.240, -1.784], [-0.448, -6.296, 0.145], [-2.754, 1.397, 5.542]],
  "species": ["Tb", "Pm", "Pr", "Pr"],
  "fractional_positions": [[0.500, 0.000, 0.000], [0.000, 0.000, 0.500], [0.249, 0.498, 0.249], [0.751, 0.502, 0.751]]
}

# 4
{
  "formula": "TbPm2Pr",
  "functional": "PBE",
  "state": "relaxed",
  "energy_ev_per_atom": -4.612,
  "delta_e_f_ev_per_atom": 0.12,
  "de_polymorph_mev_per_atom": 99.3,
  "cell": [[4.302, 0.000, 0.000], [0.000, 4.302, 0.000], [0.000, 0.000, 7.400]],
  "species": ["Pr", "Tb", "Pm", "Pm"],
  "fractional_positions": [[0.500, 0.500, 0.500], [0.500, 0.500, 0.000], [0.000, 0.000, 0.755], [0.000, 0.000, 0.245]]
}

# 5
{
  "formula": "TbPmPr5",
  "functional": "PBE",
  "state": "relaxed",
  "energy_ev_per_atom": -3.817,
  "delta_e_f_ev_per_atom": 0.94,
  "cell": [[-4.301, 4.135, 0.061], [-1.349, 2.791, 7.495], [3.011, 7.417, 1.307]],
  "species": ["Tb", "Pm", "Pr", "Pr", "Pr", "Pr", "Pr"],
  "fractional_positions": [[0.500, 0.500, 0.500], [0.000, 0.000, 0.000], [0.751, 0.249, 0.249], [0.000, 0.323, 0.677], [0.500, 0.000, 0.000], [0.000, 0.677, 0.323], [0.249, 0.751, 0.751]]
}

# 6
{
  "formula": "Tb7Pm4Pr",
  "functional": "PBE",
  "state": "relaxed",
  "energy_ev_per_atom": -4.433,
  "delta_e_f_ev_per_atom": 0.25,
  "de_polymorph_mev_per_atom": 166.8,
  "cell": [[-3.727, 2.487, 3.947], [-10.696, -2.768, -3.839], [-1.767, -3.863, 5.282]],
  "species": ["Tb", "Tb", "Tb", "Tb", "Tb", "Tb", "Tb", "Pm", "Pm", "Pm", "Pm", "Pr"],
  "fractional_positions": [[0.789, 0.922, 0.499], [0.211, 0.078, 0.501], [0.064, 0.676, 0.195], [0.936, 0.324, 0.805], [0.368, 0.499, 0.764], [0.500, 0.000, 0.000], [0.632, 0.501, 0.236], [0.635, 0.224, 0.506], [0.365, 0.776, 0.494], [0.763, 0.675, 0.799], [0.237, 0.325, 0.201], [0.000, 0.000, 0.000]]
}

Please write out number 4 again, unchanged.
{
  "formula": "TbPm2Pr",
  "functional": "PBE",
  "state": "relaxed",
  "energy_ev_per_atom": -4.612,
  "delta_e_f_ev_per_atom": 0.12,
  "de_polymorph_mev_per_atom": 99.3,
  "cell": [[4.302, 0.000, 0.000], [0.000, 4.302, 0.000], [0.000, 0.000, 7.400]],
  "species": ["Pr", "Tb", "Pm", "Pm"],
  "fractional_positions": [[0.500, 0.500, 0.500], [0.500, 0.500, 0.000], [0.000, 0.000, 0.755], [0.000, 0.000, 0.245]]
}

Question: What is the formula in the third record?
Answer: TbPmPr2